A.
A plane-wave DFT calculation with PBE-GGA was carried out for a geometry-optimized YMn3Cr structure.

As for the density of states at the Fermi level: 3.811 states/eV/cell. Its crystal system is cubic.

The space group is Pm-3m (No. 221) and the conventional cell measures 4.869, 4.869 and 4.869 Å, with angles of 90.00, 90.00 and 90.00 degrees. Symmetry generates all atoms from Y at (0.000, 0.000, 0.000), Mn at (0.000, 0.000, 0.500) and Cr at (0.500, 0.500, 0.500).

B.
A plane-wave DFT calculation with PBE-GGA was carried out for a geometry-optimized YMn3Cr structure.

As for the density of states at the Fermi level: 4.756 states/eV/cell. Its crystal system is cubic.

The space group is Pm-3m (No. 221) and the conventional cell measures 4.399, 4.399 and 4.399 Å, with angles of 90.00, 90.00 and 90.00 degrees. Symmetry generates all atoms from Y at (0.000, 0.000, 0.000), Mn at (0.000, 0.500, 0.500) and Cr at (0.500, 0.500, 0.500).

B has the most favorable energy; the next structure is 1240 meV per atom above.

A.
A plane-wave DFT calculation with PBE-GGA was carried out for a geometry-optimized MnZnCr structure.

As for the density of states at the Fermi level: 10.607 states/eV/cell. Its crystal system is cubic.

The space group is F-43m (No. 216) and the conventional cell measures 5.777, 5.777 and 5.777 Å, with angles of 90.00, 90.00 and 90.00 degrees. Symmetry generates all atoms from Mn at (0.000, 0.000, 0.000), Zn at (0.250, 0.250, 0.250) and Cr at (0.250, 0.250, 0.750).

B.
A plane-wave DFT calculation with PBE-GGA was carried out for a geometry-optimized MnZnCr structure.

As for the density of states at the Fermi level: 10.131 states/eV/cell. Its crystal system is monoclinic.

The space group is C2/m (No. 12) and the conventional cell measures 8.567, 2.470 and 6.980 Å, with angles of 90.00, 91.44 and 90.00 degrees. Symmetry generates all atoms from Mn at (0.135, 0.000, 0.420), Zn at (0.101, 0.500, 0.745) and Cr at (0.129, 0.000, 0.084).

C.
A plane-wave DFT calculation with PBE-GGA was carried out for a geometry-optimized MnZnCr structure.

As for the density of states at the Fermi level: 2.418 states/eV/cell. Its crystal system is trigonal.

The space group is P3m1 (No. 156) and the conventional cell measures 4.1052, 4.1052 and 2.5320 Å, with angles of 90.00, 90.00 and 120.00 degrees. Symmetry generates all atoms from Mn at (0.0000, 0.0000, 0.0000), Zn at (0.3333, 0.6667, 0.3686) and Cr at (0.6667, 0.3333, 0.7680).

D.
A plane-wave DFT calculation with PBE-GGA was carried out for a geometry-optimized MnZnCr structure.

As for the density of states at the Fermi level: 12.601 states/eV/cell. Its crystal system is orthorhombic.

The space group is Fmm2 (No. 42) and the conventional cell measures 2.882, 4.105 and 12.508 Å, with angles of 90.00, 90.00 and 90.00 degrees. Symmetry generates all atoms from Mn at (0.000, 0.000, 0.000), Zn at (0.000, 0.000, 0.673) and Cr at (0.000, 0.000, 0.350).

C has the most favorable energy; the next structure is 35 meV per atom above.

A.
A plane-wave DFT calculation with PBE-GGA was carried out for a geometry-optimized MnZnCr structure.

As for the density of states at the Fermi level: 5.060 states/eV/cell. Its crystal system is tetragonal.

The space group is I4mm (No. 107) and the conventional cell measures 2.522, 2.522 and 11.823 Å, with angles of 90.00, 90.00 and 90.00 degrees. Symmetry generates all atoms from Mn at (0.000, 0.000, 0.000), Zn at (0.000, 0.000, 0.331) and Cr at (0.000, 0.000, 0.659).

B.
A plane-wave DFT calculation with PBE-GGA was carried out for a geometry-optimized MnZnCr structure.

As for the density of states at the Fermi level: 3.909 states/eV/cell. Its crystal system is orthorhombic.

The space group is Imm2 (No. 44) and the conventional cell measures 2.951, 3.299 and 8.274 Å, with angles of 90.00, 90.00 and 90.00 degrees. Symmetry generates all atoms from Mn at (0.000, 0.000, 0.000), Zn at (0.000, 0.000, 0.676) and Cr at (0.000, 0.000, 0.355).

B has the most favorable energy; the next structure is 135 meV per atom above.

A.
A plane-wave DFT calculation with PBE-GGA was carried out for a geometry-optimized Mn2ZnCr2 structure.

As for the density of states at the Fermi level: 8.853 states/eV/cell. Its crystal system is tetragonal.

The space group is P4/mbm (No. 127) and the conventional cell measures 6.866, 6.866 and 2.718 Å, with angles of 90.00, 90.00 and 90.00 degrees. Symmetry generates all atoms from Mn at (0.140, 0.360, 0.000), Zn at (0.000, 0.000, 0.000) and Cr at (0.158, 0.658, 0.500).

B.
A plane-wave DFT calculation with PBE-GGA was carried out for a geometry-optimized Mn2ZnCr2 structure.

As for the density of states at the Fermi level: 7.209 states/eV/cell. Its crystal system is tetragonal.

The space group is P4/mbm (No. 127) and the conventional cell measures 6.938, 6.938 and 2.707 Å, with angles of 90.00, 90.00 and 90.00 degrees. Symmetry generates all atoms from Mn at (0.154, 0.346, 0.000), Zn at (0.000, 0.000, 0.500) and Cr at (0.143, 0.643, 0.500).

A has the most favorable energy; the next structure is 36 meV per atom above.

A.
A plane-wave DFT calculation with PBE-GGA was carried out for a geometry-optimized Mn3ZnCr structure.

As for the density of states at the Fermi level: 4.525 states/eV/cell. Its crystal system is cubic.

The space group is Pm-3m (No. 221) and the conventional cell measures 4.558, 4.558 and 4.558 Å, with angles of 90.00, 90.00 and 90.00 degrees. Symmetry generates all atoms from Mn at (0.000, 0.000, 0.500), Zn at (0.000, 0.000, 0.000) and Cr at (0.500, 0.500, 0.500).

B.
A plane-wave DFT calculation with PBE-GGA was carried out for a geometry-optimized Mn3ZnCr structure.

As for the density of states at the Fermi level: 6.142 states/eV/cell. Its crystal system is cubic.

The space group is Pm-3m (No. 221) and the conventional cell measures 4.305, 4.305 and 4.305 Å, with angles of 90.00, 90.00 and 90.00 degrees. Symmetry generates all atoms from Mn at (0.000, 0.000, 0.500), Zn at (0.500, 0.500, 0.500) and Cr at (0.000, 0.000, 0.000).

B has the most favorable energy; the next structure is 143 meV per atom above.

A.
A plane-wave DFT calculation with PBE-GGA was carried out for a geometry-optimized MnZnCr3 structure.

As for the density of states at the Fermi level: 10.355 states/eV/cell. Its crystal system is cubic.

The space group is Pm-3m (No. 221) and the conventional cell measures 4.583, 4.583 and 4.583 Å, with angles of 90.00, 90.00 and 90.00 degrees. Symmetry generates all atoms from Mn at (0.000, 0.000, 0.000), Zn at (0.500, 0.500, 0.500) and Cr at (0.000, 0.500, 0.500).

B.
A plane-wave DFT calculation with PBE-GGA was carried out for a geometry-optimized MnZnCr3 structure.

As for the density of states at the Fermi level: 3.624 states/eV/cell. Its crystal system is cubic.

The space group is Pm-3m (No. 221) and the conventional cell measures 4.384, 4.384 and 4.384 Å, with angles of 90.00, 90.00 and 90.00 degrees. Symmetry generates all atoms from Mn at (0.000, 0.000, 0.000), Zn at (0.500, 0.500, 0.500) and Cr at (0.000, 0.000, 0.500).

B has the most favorable energy; the next structure is 858 meV per atom above.

A.
A plane-wave DFT calculation with PBE-GGA was carried out for a geometry-optimized ZrMn3Cr structure.

As for the density of states at the Fermi level: 9.895 states/eV/cell. Its crystal system is cubic.

The space group is Pm-3m (No. 221) and the conventional cell measures 4.262, 4.262 and 4.262 Å, with angles of 90.00, 90.00 and 90.00 degrees. Symmetry generates all atoms from Zr at (0.000, 0.000, 0.000), Mn at (0.000, 0.500, 0.500) and Cr at (0.500, 0.500, 0.500).

B.
A plane-wave DFT calculation with PBE-GGA was carried out for a geometry-optimized ZrMn3Cr structure.

As for the density of states at the Fermi level: 4.314 states/eV/cell. Its crystal system is cubic.

The space group is Pm-3m (No. 221) and the conventional cell measures 4.749, 4.749 and 4.749 Å, with angles of 90.00, 90.00 and 90.00 degrees. Symmetry generates all atoms from Zr at (0.000, 0.000, 0.000), Mn at (0.000, 0.000, 0.500) and Cr at (0.500, 0.500, 0.500).

A has the most favorable energy; the next structure is 893 meV per atom above.

A.
A plane-wave DFT calculation with PBE-GGA was carried out for a geometry-optimized Cr2Mo structure.

As for the density of states at the Fermi level: 14.779 states/eV/cell. Its crystal system is orthorhombic.

The space group is Imma (No. 74) and the conventional cell measures 2.818, 4.252 and 13.692 Å, with angles of 90.00, 90.00 and 90.00 degrees. Symmetry generates all atoms from Cr at (0.000, 0.250, 0.019), Cr at (0.000, 0.250, 0.185) and Mo at (0.000, 0.250, 0.655).

B.
A plane-wave DFT calculation with PBE-GGA was carried out for a geometry-optimized Cr2Mo structure.

As for the density of states at the Fermi level: 7.422 states/eV/cell. Its crystal system is orthorhombic.

The space group is Cmcm (No. 63) and the conventional cell measures 2.979, 12.528 and 4.210 Å, with angles of 90.00, 90.00 and 90.00 degrees. Symmetry generates all atoms from Cr at (0.000, 0.088, 0.250), Cr at (0.000, 0.252, 0.750) and Mo at (0.000, 0.414, 0.250).

C.
A plane-wave DFT calculation with PBE-GGA was carried out for a geometry-optimized Cr2Mo structure.

As for the density of states at the Fermi level: 5.244 states/eV/cell. Its crystal system is orthorhombic.

The space group is Pnnm (No. 58) and the conventional cell measures 2.540, 7.361 and 4.256 Å, with angles of 90.00, 90.00 and 90.00 degrees. Symmetry generates all atoms from Cr at (0.200, 0.164, 0.000) and Mo at (0.000, 0.500, 0.000).

D.
A plane-wave DFT calculation with PBE-GGA was carried out for a geometry-optimized Cr2Mo structure.

As for the density of states at the Fermi level: 10.073 states/eV/cell. Its crystal system is orthorhombic.

The space group is Pnma (No. 62) and the conventional cell measures 5.012, 4.259 and 7.424 Å, with angles of 90.00, 90.00 and 90.00 degrees. Symmetry generates all atoms from Cr at (0.011, 0.250, 0.246), Cr at (0.167, 0.250, 0.932) and Mo at (0.168, 0.250, 0.589).

B has the most favorable energy; the next structure is 112 meV per atom above.

A.
A plane-wave DFT calculation with PBE-GGA was carried out for a geometry-optimized Cr4Mo structure.

As for the density of states at the Fermi level: 17.032 states/eV/cell. Its crystal system is orthorhombic.

The space group is Cmcm (No. 63) and the conventional cell measures 5.144, 8.997 and 5.698 Å, with angles of 90.00, 90.00 and 90.00 degrees. Symmetry generates all atoms from Cr at (0.000, 0.156, 0.056), Cr at (0.235, 0.411, 0.250) and Mo at (0.000, 0.348, 0.750).

B.
A plane-wave DFT calculation with PBE-GGA was carried out for a geometry-optimized Cr4Mo structure.

As for the density of states at the Fermi level: 14.418 states/eV/cell. Its crystal system is tetragonal.

The space group is I4/mmm (No. 139) and the conventional cell measures 3.716, 3.716 and 9.770 Å, with angles of 90.00, 90.00 and 90.00 degrees. Symmetry generates all atoms from Cr at (0.000, 0.000, 0.114), Cr at (0.000, 0.500, 0.250) and Mo at (0.000, 0.000, 0.500).

A has the most favorable energy; the next structure is 207 meV per atom above.

A.
A plane-wave DFT calculation with PBE-GGA was carried out for a geometry-optimized Cr4Mo structure.

As for the density of states at the Fermi level: 8.329 states/eV/cell. Its crystal system is cubic.

The space group is Pm-3m (No. 221) and the conventional cell measures 4.663, 4.663 and 4.663 Å, with angles of 90.00, 90.00 and 90.00 degrees. Symmetry generates all atoms from Cr at (0.000, 0.000, 0.000), Cr at (0.000, 0.500, 0.500) and Mo at (0.500, 0.500, 0.500).

B.
A plane-wave DFT calculation with PBE-GGA was carried out for a geometry-optimized Cr4Mo structure.

As for the density of states at the Fermi level: 8.436 states/eV/cell. Its crystal system is tetragonal.

The space group is I4/m (No. 87) and the conventional cell measures 6.532, 6.532 and 2.934 Å, with angles of 90.00, 90.00 and 90.00 degrees. Symmetry generates all atoms from Cr at (0.099, 0.694, 0.000) and Mo at (0.000, 0.000, 0.500).

B has the most favorable energy; the next structure is 1623 meV per atom above.

A.
A plane-wave DFT calculation with PBE-GGA was carried out for a geometry-optimized Cr2Mo3 structure.

As for the density of states at the Fermi level: 34.128 states/eV/cell. Its crystal system is orthorhombic.

The space group is Fddd (No. 70, origin choice 2) and the conventional cell measures 5.248, 8.630 and 12.802 Å, with angles of 90.00, 90.00 and 90.00 degrees. Symmetry generates all atoms from Cr at (0.125, 0.125, 0.326), Mo at (0.125, 0.125, 0.125) and Mo at (0.125, 0.125, 0.521).

B.
A plane-wave DFT calculation with PBE-GGA was carried out for a geometry-optimized Cr2Mo3 structure.

As for the density of states at the Fermi level: 14.677 states/eV/cell. Its crystal system is trigonal.

The space group is R-3m (No. 166, hexagonal axes) and the conventional cell measures 2.8993, 2.8993 and 30.1238 Å, with angles of 90.00, 90.00 and 120.00 degrees. Symmetry generates all atoms from Cr at (0.0000, 0.0000, 0.1016), Mo at (0.0000, 0.0000, 0.2969) and Mo at (0.0000, 0.0000, 0.5000).

A has the most favorable energy; the next structure is 141 meV per atom above.